Material: TeI2O
Method: DFT, GGA-PBE
State: relaxed

```
TeI2O
1.0
-1.589 -3.535 -2.509
3.473 -1.055 -5.532
3.126 -5.292 1.793
I Te O
2 1 1
Direct
0.975 0.002 0.017
0.494 0.483 0.498
0.709 0.030 0.469
0.321 0.985 0.515
```

**Energy relative to the elements, uncorrected**: -1.14 eV/f.u.
**Energy relative to the lowest polymorph listed for this composition**: 0.0 meV/atom
**Crystal system**: monoclinic
**Spin magnetization**: 0.0 μB per formula unit
**DFT total energy**: -3.0863 eV/atom

Material: TeI2O
Method: DFT, GGA-PBE
State: relaxed

```
TeI2O
1.0
0.000 3.657 3.657
3.657 0.000 3.657
3.657 3.657 0.000
I O Te
2 1 1
Direct
0.250 0.250 0.250
0.750 0.750 0.750
0.000 0.000 0.000
0.500 0.500 0.500
```

**Energy relative to the elements, uncorrected**: 3.07 eV/f.u.
**Energy relative to the lowest polymorph listed for this composition**: 1052.7 meV/atom
**Crystal system**: cubic
**Spin magnetization**: 0.0 μB per formula unit
**DFT total energy**: -2.0336 eV/atom

Material: Te3IO
Method: DFT, GGA-PBE
State: relaxed

```
Te3IO
1.0
-1.914 5.220 -3.395
-10.441 -2.264 2.405
1.090 5.719 8.179
Te O I
12 4 4
Direct
0.991 0.744 0.610
0.279 0.995 0.748
0.936 0.200 0.120
0.779 0.005 0.752
0.009 0.256 0.390
0.436 0.800 0.380
0.564 0.200 0.620
0.064 0.800 0.880
0.721 0.005 0.252
0.221 0.995 0.248
0.509 0.744 0.110
0.491 0.256 0.890
0.249 0.890 0.085
0.749 0.110 0.415
0.251 0.890 0.585
0.751 0.110 0.915
0.142 0.396 0.813
0.642 0.604 0.687
0.358 0.396 0.313
0.858 0.604 0.187
```

**Energy relative to the elements, uncorrected**: -0.66 eV/f.u.
**Energy relative to the lowest polymorph listed for this composition**: 0.0 meV/atom
**Crystal system**: monoclinic
**Spin magnetization**: 0.0 μB per formula unit
**DFT total energy**: -3.3185 eV/atom

Material: TeIO3
Method: DFT, GGA-PBE
State: relaxed

```
TeIO3
1.0
-1.170 2.724 -2.985
-0.204 -3.143 -2.788
-4.036 -0.631 1.006
O Te I
3 1 1
Direct
0.000 0.000 0.500
0.500 0.000 0.000
0.000 0.500 0.000
0.000 0.000 0.000
0.500 0.500 0.500
```

**Energy relative to the elements, uncorrected**: -0.21 eV/f.u.
**Crystal system**: cubic
**Spin magnetization**: 1.7 μB per formula unit
**DFT total energy**: -3.9551 eV/atom

Material: TeI2O2
Method: DFT, GGA-PBE
State: relaxed

```
TeI2O2
1.0
-5.751 -0.679 -1.525
1.578 -0.432 -5.760
0.366 -4.000 0.400
I O Te
2 2 1
Direct
0.000 0.500 0.000
0.500 0.000 0.000
0.000 0.000 0.500
0.500 0.500 0.500
0.000 0.000 0.000
```

**Energy relative to the elements, uncorrected**: 1.96 eV/f.u.
**Energy relative to the lowest polymorph listed for this composition**: 480.7 meV/atom
**Crystal system**: tetragonal
**Spin magnetization**: 2.1 μB per formula unit
**DFT total energy**: -2.8403 eV/atom

Material: ThTeIO4
Method: DFT, GGA-PBE
State: relaxed

```
ThTeIO4
1.0
-5.399 3.053 5.084
-7.674 1.876 -1.376
-2.681 -5.676 1.979
O Th Te I
8 2 2 2
Direct
0.415 0.415 0.896
0.506 0.900 0.843
0.585 0.585 0.104
0.900 0.506 0.843
0.494 0.100 0.157
0.321 0.321 0.507
0.100 0.494 0.157
0.679 0.679 0.493
0.728 0.728 0.171
0.272 0.272 0.829
0.615 0.615 0.784
0.385 0.385 0.216
0.998 0.998 0.268
0.002 0.002 0.732
```

**Energy relative to the elements, uncorrected**: -12.99 eV/f.u.
**Crystal system**: monoclinic
**Spin magnetization**: 0.0 μB per formula unit
**DFT total energy**: -6.4191 eV/atom